DFT (GGA-PBEsol) results for a geometry-optimized Li2P2Pd structure. Values from VASP.

Computed properties:
Symmetry: No. 127
Crystal system: tetragonal
Energy of formation in eV per atom: -0.6761

```
&SYSTEM
  ibrav = 0, nat = 10, ntyp = 3
/
ATOMIC_SPECIES
Li 6.94 Li.upf
P 30.97 P.upf
Pd 106.42 Pd.upf
ATOMIC_POSITIONS crystal
Li 0.500 0.327 0.173
Li 0.500 0.173 0.673
Li 0.500 0.827 0.327
Li 0.500 0.673 0.827
P 0.000 0.630 0.130
P 0.000 0.370 0.870
P 0.000 0.870 0.630
P 0.000 0.130 0.370
Pd 0.000 0.500 0.500
Pd 0.000 0.000 0.000
CELL_PARAMETERS angstrom
-3.623 -1.278 1.307
2.607 -4.702 2.628
0.687 3.186 5.018
```

***

DFT (GGA-PBEsol) results for a geometry-optimized LiPPd3 structure. Values from VASP.

Computed properties:
Symmetry: No. 221
Crystal system: cubic
Energy of formation in eV per atom: -0.3035

```
&SYSTEM
  ibrav = 0, nat = 5, ntyp = 3
/
ATOMIC_SPECIES
Li 6.94 Li.upf
Pd 106.42 Pd.upf
P 30.97 P.upf
ATOMIC_POSITIONS crystal
Li 0.500 0.500 0.500
Pd 0.000 0.500 0.000
Pd 0.000 0.000 0.500
Pd 0.500 0.000 0.000
P 0.000 0.000 0.000
CELL_PARAMETERS angstrom
-0.862 -4.295 -0.698
1.806 -1.000 3.927
-3.959 0.479 1.943
```

***

DFT (GGA-PBEsol) results for a geometry-optimized Li2PrP2 structure. Values from VASP.

Computed properties:
Symmetry: No. 164
Crystal system: trigonal
Energy of formation in eV per atom: -0.8293

```
&SYSTEM
  ibrav = 0, nat = 5, ntyp = 3
/
ATOMIC_SPECIES
Li 6.94 Li.upf
P 30.97 P.upf
Pr 140.91 Pr.upf
ATOMIC_POSITIONS crystal
Li 0.333 0.667 0.622
Li 0.667 0.333 0.378
P 0.333 0.667 0.246
P 0.667 0.333 0.754
Pr 0.000 0.000 0.000
CELL_PARAMETERS angstrom
-1.180 2.261 3.263
-1.938 -3.556 -0.866
4.402 -3.353 3.915
```

***

DFT (GGA-PBEsol) results for a geometry-optimized LiP2Pt structure. Values from VASP.

Computed properties:
Symmetry: No. 123
Crystal system: tetragonal
Energy of formation in eV per atom: -0.2347

```
&SYSTEM
  ibrav = 0, nat = 4, ntyp = 3
/
ATOMIC_SPECIES
Pt 195.08 Pt.upf
P 30.97 P.upf
Li 6.94 Li.upf
ATOMIC_POSITIONS crystal
Pt 0.500 0.500 0.000
P 0.000 0.500 0.500
P 0.000 0.000 0.000
Li 0.500 0.000 0.500
CELL_PARAMETERS angstrom
3.580 0.000 0.000
0.000 3.872 0.000
0.000 0.000 3.876
```

***

DFT (GGA-PBEsol) results for a geometry-optimized LiPPt2 structure. Values from VASP.

Computed properties:
Symmetry: No. 123
Crystal system: tetragonal
Energy of formation in eV per atom: -0.2952

```
&SYSTEM
  ibrav = 0, nat = 4, ntyp = 3
/
ATOMIC_SPECIES
Pt 195.08 Pt.upf
P 30.97 P.upf
Li 6.94 Li.upf
ATOMIC_POSITIONS crystal
Pt 0.000 0.000 0.729
Pt 0.000 0.000 0.271
P 0.500 0.500 0.500
Li 0.500 0.500 0.000
CELL_PARAMETERS angstrom
-1.710 -1.008 2.120
0.768 -2.719 -0.673
5.034 0.373 4.239
```

***

DFT (GGA-PBEsol) results for a geometry-optimized LiPPt2 structure. Values from VASP.

Computed properties:
Symmetry: No. 8
Crystal system: monoclinic
Energy of formation in eV per atom: -0.4855

```
&SYSTEM
  ibrav = 0, nat = 4, ntyp = 3
/
ATOMIC_SPECIES
Pt 195.08 Pt.upf
P 30.97 P.upf
Li 6.94 Li.upf
ATOMIC_POSITIONS crystal
Pt 0.751 0.336 0.502
Pt 0.995 0.934 0.989
P 0.264 0.777 0.527
Li 0.491 0.452 0.982
CELL_PARAMETERS angstrom
-0.892 -0.984 2.856
2.097 -3.595 -0.584
3.187 3.130 0.336
```

***

DFT (GGA-PBEsol) results for a geometry-optimized LiPPt2 structure. Values from VASP.

Computed properties:
Symmetry: No. 123
Crystal system: tetragonal
Energy of formation in eV per atom: -0.4851

```
&SYSTEM
  ibrav = 0, nat = 4, ntyp = 3
/
ATOMIC_SPECIES
P 30.97 P.upf
Pt 195.08 Pt.upf
Li 6.94 Li.upf
ATOMIC_POSITIONS crystal
P 0.500 0.000 0.000
Pt 0.000 0.500 0.000
Pt 0.000 0.000 0.500
Li 0.500 0.500 0.500
CELL_PARAMETERS angstrom
-3.149 -0.902 1.020
1.542 -2.560 2.496
0.105 2.750 2.756
```

***

DFT (GGA-PBEsol) results for a geometry-optimized LiPPt structure. Values from VASP.

Computed properties:
Symmetry: No. 187
Crystal system: hexagonal
Energy of formation in eV per atom: -0.6429

```
&SYSTEM
  ibrav = 0, nat = 3, ntyp = 3
/
ATOMIC_SPECIES
Pt 195.08 Pt.upf
P 30.97 P.upf
Li 6.94 Li.upf
ATOMIC_POSITIONS crystal
Pt 0.000 0.667 0.333
P 0.000 0.333 0.667
Li 0.500 0.000 0.000
CELL_PARAMETERS angstrom
-0.226 -2.754 -0.544
3.990 -0.157 -0.866
-1.288 -0.650 3.823
```

***

DFT (GGA-PBEsol) results for a geometry-optimized LiPPt2 structure. Values from VASP.

Computed properties:
Symmetry: No. 47
Crystal system: orthorhombic
Energy of formation in eV per atom: -0.4317

```
&SYSTEM
  ibrav = 0, nat = 4, ntyp = 3
/
ATOMIC_SPECIES
P 30.97 P.upf
Li 6.94 Li.upf
Pt 195.08 Pt.upf
ATOMIC_POSITIONS crystal
P 0.000 0.500 0.000
Li 0.500 0.500 0.500
Pt 0.000 0.000 0.256
Pt 0.000 0.000 0.744
CELL_PARAMETERS angstrom
-1.087 -2.049 -1.511
-1.687 -1.428 3.150
-4.343 3.012 -0.961
```

***

DFT (GGA-PBEsol) results for a geometry-optimized Li2P2Pt structure. Values from VASP.

Computed properties:
Symmetry: No. 127
Crystal system: tetragonal
Energy of formation in eV per atom: -0.7332

```
&SYSTEM
  ibrav = 0, nat = 10, ntyp = 3
/
ATOMIC_SPECIES
Li 6.94 Li.upf
Pt 195.08 Pt.upf
P 30.97 P.upf
ATOMIC_POSITIONS crystal
Li 0.500 0.177 0.677
Li 0.500 0.677 0.823
Li 0.500 0.823 0.323
Li 0.500 0.323 0.177
Pt 0.000 0.000 0.000
Pt 0.000 0.500 0.500
P 0.000 0.131 0.369
P 0.000 0.631 0.131
P 0.000 0.869 0.631
P 0.000 0.369 0.869
CELL_PARAMETERS angstrom
-3.239 -2.114 1.535
3.214 -5.000 -0.106
1.899 1.103 5.524
```

***

DFT (GGA-PBEsol) results for a geometry-optimized Li2P2Pt structure. Values from VASP.

Computed properties:
Symmetry: No. 71
Crystal system: orthorhombic
Energy of formation in eV per atom: -0.1900

```
&SYSTEM
  ibrav = 0, nat = 5, ntyp = 3
/
ATOMIC_SPECIES
P 30.97 P.upf
Pt 195.08 Pt.upf
Li 6.94 Li.upf
ATOMIC_POSITIONS crystal
P 0.394 0.394 0.789
P 0.606 0.606 0.211
Pt 0.000 0.000 0.000
Li 0.804 0.804 0.607
Li 0.196 0.196 0.393
CELL_PARAMETERS angstrom
-1.408 2.079 -1.396
-0.583 -2.163 -2.635
-4.811 -1.936 4.924
```

***

DFT (GGA-PBEsol) results for a geometry-optimized RbLi3P structure. Values from VASP.

Computed properties:
Symmetry: No. 221
Crystal system: cubic
Energy of formation in eV per atom: -0.3174

```
&SYSTEM
  ibrav = 0, nat = 5, ntyp = 3
/
ATOMIC_SPECIES
Rb 85.47 Rb.upf
Li 6.94 Li.upf
P 30.97 P.upf
ATOMIC_POSITIONS crystal
Rb 0.500 0.500 0.500
Li 0.500 0.000 0.000
Li 0.000 0.500 0.000
Li 0.000 0.000 0.500
P 0.000 0.000 0.000
CELL_PARAMETERS angstrom
4.898 0.000 0.000
0.000 4.898 0.000
0.000 0.000 4.898
```

***

DFT (GGA-PBEsol) results for a geometry-optimized LiReP2S structure. Values from VASP.

Computed properties:
Symmetry: No. 123
Formation energy without anion corrections in eV per atom: 0.26
Crystal system: tetragonal

```
&SYSTEM
  ibrav = 0, nat = 5, ntyp = 4
/
ATOMIC_SPECIES
P 30.97 P.upf
Li 6.94 Li.upf
Re 186.21 Re.upf
S 32.06 S.upf
ATOMIC_POSITIONS crystal
P 0.500 0.000 0.000
P 0.000 0.500 0.000
Li 0.500 0.500 0.500
Re 0.000 0.000 0.000
S 0.000 0.000 0.500
CELL_PARAMETERS angstrom
4.501 0.000 0.000
0.000 4.501 0.000
0.000 0.000 5.117
```

***

DFT (GGA-PBEsol) results for a geometry-optimized Li2PRh2 structure. Values from VASP.

Computed properties:
Symmetry: No. 127
Crystal system: tetragonal
Energy of formation in eV per atom: -0.5745

```
&SYSTEM
  ibrav = 0, nat = 10, ntyp = 3
/
ATOMIC_SPECIES
P 30.97 P.upf
Li 6.94 Li.upf
Rh 102.91 Rh.upf
ATOMIC_POSITIONS crystal
P 0.000 0.000 0.000
P 0.000 0.500 0.500
Li 0.500 0.339 0.161
Li 0.500 0.839 0.339
Li 0.500 0.661 0.839
Li 0.500 0.161 0.661
Rh 0.000 0.344 0.844
Rh 0.000 0.656 0.156
Rh 0.000 0.844 0.656
Rh 0.000 0.156 0.344
CELL_PARAMETERS angstrom
-3.547 2.047 1.134
-3.090 -3.337 -3.641
-0.864 -3.863 4.274
```

***

DFT (GGA-PBEsol) results for a geometry-optimized LiPRh2 structure. Values from VASP.

Computed properties:
Symmetry: No. 38
Crystal system: orthorhombic
Energy of formation in eV per atom: -0.4574

```
&SYSTEM
  ibrav = 0, nat = 4, ntyp = 3
/
ATOMIC_SPECIES
P 30.97 P.upf
Rh 102.91 Rh.upf
Li 6.94 Li.upf
ATOMIC_POSITIONS crystal
P 0.699 0.500 0.773
Rh 0.803 0.000 0.980
Rh 0.429 0.500 0.233
Li 0.069 0.000 0.513
CELL_PARAMETERS angstrom
2.784 0.000 -0.023
0.000 4.234 0.000
-1.355 0.000 4.370
```

***

DFT (GGA-PBEsol) results for a geometry-optimized LiPRh2 structure. Values from VASP.

Computed properties:
Symmetry: No. 216
Crystal system: cubic
Energy of formation in eV per atom: -0.1679

```
&SYSTEM
  ibrav = 0, nat = 4, ntyp = 3
/
ATOMIC_SPECIES
Rh 102.91 Rh.upf
Li 6.94 Li.upf
P 30.97 P.upf
ATOMIC_POSITIONS crystal
Rh 0.250 0.250 0.250
Rh 0.000 0.000 0.000
Li 0.500 0.500 0.500
P 0.750 0.750 0.750
CELL_PARAMETERS angstrom
-1.867 0.129 3.703
-4.104 -0.545 0.274
-1.524 -3.476 1.678
```

***

DFT (GGA-PBEsol) results for a geometry-optimized LiPRu2 structure. Values from VASP.

Computed properties:
Symmetry: No. 166
Crystal system: trigonal
Energy of formation in eV per atom: -0.1230

```
&SYSTEM
  ibrav = 0, nat = 4, ntyp = 3
/
ATOMIC_SPECIES
Li 6.94 Li.upf
Ru 101.07 Ru.upf
P 30.97 P.upf
ATOMIC_POSITIONS crystal
Li 0.000 0.000 0.000
Ru 0.762 0.762 0.713
Ru 0.238 0.238 0.287
P 0.500 0.500 0.500
CELL_PARAMETERS angstrom
2.823 0.000 0.000
1.412 2.445 0.000
1.412 0.815 7.806
```

***

DFT (GGA-PBEsol) results for a geometry-optimized LiPRu2 structure. Values from VASP.

Computed properties:
Symmetry: No. 99
Crystal system: tetragonal
Energy of formation in eV per atom: -0.0428

```
&SYSTEM
  ibrav = 0, nat = 4, ntyp = 3
/
ATOMIC_SPECIES
Li 6.94 Li.upf
Ru 101.07 Ru.upf
P 30.97 P.upf
ATOMIC_POSITIONS crystal
Li 0.000 0.000 0.514
Ru 0.000 0.000 0.976
Ru 0.500 0.500 0.230
P 0.500 0.500 0.781
CELL_PARAMETERS angstrom
2.741 0.000 0.000
0.000 2.741 0.000
0.000 0.000 7.229
```

***

DFT (GGA-PBEsol) results for a geometry-optimized LiPRu2 structure. Values from VASP.

Computed properties:
Symmetry: No. 12
Crystal system: monoclinic
Energy of formation in eV per atom: 0.0036

```
&SYSTEM
  ibrav = 0, nat = 4, ntyp = 3
/
ATOMIC_SPECIES
Ru 101.07 Ru.upf
Li 6.94 Li.upf
P 30.97 P.upf
ATOMIC_POSITIONS crystal
Ru 0.000 0.000 0.500
Ru 0.000 0.500 0.000
Li 0.500 0.000 0.000
P 0.500 0.500 0.500
CELL_PARAMETERS angstrom
-1.810 1.742 1.000
-1.114 -0.480 -4.525
-0.779 -4.029 2.260
```

***

DFT (GGA-PBEsol) results for a geometry-optimized LiTlPRu2 structure. Values from VASP.

Computed properties:
Symmetry: No. 123
Crystal system: tetragonal
Energy of formation in eV per atom: 1.8489

```
&SYSTEM
  ibrav = 0, nat = 5, ntyp = 4
/
ATOMIC_SPECIES
Ru 101.07 Ru.upf
P 30.97 P.upf
Li 6.94 Li.upf
Tl 204.38 Tl.upf
ATOMIC_POSITIONS crystal
Ru 0.000 0.000 0.500
Ru 0.000 0.500 0.000
P 0.500 0.500 0.500
Li 0.500 0.000 0.000
Tl 0.000 0.000 0.000
CELL_PARAMETERS angstrom
4.343 0.000 0.000
0.000 4.924 0.000
0.000 0.000 4.924
```

***

DFT (GGA-PBEsol) results for a geometry-optimized Li3PS4 structure. Values from VASP.

Computed properties:
Symmetry: No. 121
Formation energy without anion corrections in eV per atom: -0.93
Crystal system: tetragonal

```
&SYSTEM
  ibrav = 0, nat = 8, ntyp = 3
/
ATOMIC_SPECIES
Li 6.94 Li.upf
S 32.06 S.upf
P 30.97 P.upf
ATOMIC_POSITIONS crystal
Li 0.250 0.500 0.250
Li 0.750 0.500 0.750
Li 0.000 0.000 0.000
S 0.405 0.237 0.167
S 0.595 0.763 0.405
S 0.167 0.763 0.833
S 0.833 0.237 0.595
P 0.500 0.000 0.500
CELL_PARAMETERS angstrom
5.551 0.000 0.000
-2.775 5.686 0.035
0.000 2.679 4.861
```

***

DFT (GGA-PBEsol) results for a geometry-optimized Li7P3S11 structure. Values from VASP.

Computed properties:
Symmetry: No. 2
Formation energy without anion corrections in eV per atom: -0.85
Crystal system: triclinic

```
&SYSTEM
  ibrav = 0, nat = 42, ntyp = 3
/
ATOMIC_SPECIES
S 32.06 S.upf
Li 6.94 Li.upf
P 30.97 P.upf
ATOMIC_POSITIONS crystal
S 0.755 0.587 0.424
S 0.178 0.512 0.297
S 0.827 0.858 0.058
S 0.432 0.157 0.511
S 0.899 0.180 0.401
S 0.389 0.974 0.203
S 0.470 0.522 0.880
S 0.245 0.413 0.576
S 0.173 0.142 0.942
S 0.611 0.026 0.797
S 0.204 0.825 0.902
S 0.848 0.324 0.912
S 0.518 0.687 0.705
S 0.568 0.843 0.489
S 0.530 0.478 0.120
S 0.822 0.488 0.703
S 0.796 0.175 0.098
S 0.152 0.676 0.088
S 0.101 0.820 0.599
S 0.915 0.811 0.316
S 0.085 0.189 0.684
S 0.482 0.313 0.295
Li 0.156 0.611 0.885
Li 0.086 0.296 0.297
Li 0.401 0.132 0.116
Li 0.307 0.671 0.503
Li 0.914 0.704 0.703
Li 0.693 0.329 0.497
Li 0.844 0.389 0.115
Li 0.258 0.332 0.902
Li 0.742 0.668 0.098
Li 0.805 0.971 0.253
Li 0.689 0.184 0.701
Li 0.599 0.868 0.884
Li 0.195 0.029 0.747
Li 0.311 0.816 0.299
P 0.146 0.834 0.060
P 0.529 0.528 0.728
P 0.824 0.778 0.452
P 0.176 0.222 0.548
P 0.854 0.166 0.940
P 0.471 0.472 0.272
CELL_PARAMETERS angstrom
6.184 0.011 0.070
-2.586 11.822 -0.084
-2.842 -4.375 11.261
```

***

DFT (GGA-PBEsol) results for a geometry-optimized Li3PS4 structure. Values from VASP.

Computed properties:
Symmetry: No. 62
Formation energy without anion corrections in eV per atom: -0.92
Crystal system: orthorhombic

```
&SYSTEM
  ibrav = 0, nat = 32, ntyp = 3
/
ATOMIC_SPECIES
Li 6.94 Li.upf
P 30.97 P.upf
S 32.06 S.upf
ATOMIC_POSITIONS crystal
Li 0.698 0.506 0.846
Li 0.698 0.994 0.846
Li 0.198 0.494 0.654
Li 0.802 0.506 0.346
Li 0.237 0.750 0.426
Li 0.302 0.006 0.154
Li 0.802 0.994 0.346
Li 0.737 0.250 0.074
Li 0.302 0.494 0.154
Li 0.263 0.750 0.926
Li 0.198 0.006 0.654
Li 0.763 0.250 0.574
P 0.700 0.750 0.598
P 0.200 0.250 0.902
P 0.800 0.750 0.098
P 0.300 0.250 0.402
S 0.800 0.970 0.672
S 0.172 0.250 0.541
S 0.200 0.470 0.328
S 0.365 0.750 0.592
S 0.300 0.470 0.828
S 0.672 0.750 0.959
S 0.300 0.030 0.828
S 0.135 0.750 0.092
S 0.865 0.250 0.908
S 0.828 0.750 0.459
S 0.328 0.250 0.041
S 0.200 0.030 0.328
S 0.635 0.250 0.408
S 0.700 0.530 0.172
S 0.800 0.530 0.672
S 0.700 0.970 0.172
CELL_PARAMETERS angstrom
-4.537 3.925 1.293
-1.210 -3.576 6.611
8.846 8.226 6.069
```

***

DFT (GGA-PBEsol) results for a geometry-optimized LiPSeS2 structure. Values from VASP.

Computed properties:
Symmetry: No. 123
Formation energy without anion corrections in eV per atom: 0.44
Crystal system: tetragonal

```
&SYSTEM
  ibrav = 0, nat = 5, ntyp = 4
/
ATOMIC_SPECIES
P 30.97 P.upf
S 32.06 S.upf
Se 78.96 Se.upf
Li 6.94 Li.upf
ATOMIC_POSITIONS crystal
P 0.500 0.000 0.000
S 0.000 0.500 0.000
S 0.000 0.000 0.500
Se 0.000 0.000 0.000
Li 0.500 0.500 0.500
CELL_PARAMETERS angstrom
4.736 0.000 0.000
0.000 4.822 0.000
0.000 0.000 4.822
```

***

DFT (GGA-PBEsol) results for a geometry-optimized LiSnPS2 structure. Values from VASP.

Computed properties:
Symmetry: No. 123
Formation energy without anion corrections in eV per atom: 0.30
Crystal system: tetragonal

```
&SYSTEM
  ibrav = 0, nat = 5, ntyp = 4
/
ATOMIC_SPECIES
S 32.06 S.upf
Sn 118.71 Sn.upf
P 30.97 P.upf
Li 6.94 Li.upf
ATOMIC_POSITIONS crystal
S 0.000 0.000 0.500
S 0.000 0.500 0.000
Sn 0.500 0.500 0.500
P 0.500 0.000 0.000
Li 0.000 0.000 0.000
CELL_PARAMETERS angstrom
-0.139 -3.465 -2.419
3.908 1.301 -2.088
2.456 -2.304 3.160
```